Entry 1:
NdSmDy2: optimized geometry, PBE-GGA.

The structure in POSCAR format:
```
NdSmDy2
1.0
-3.024 3.851 1.270
-4.433 -4.588 3.355
3.706 0.893 6.117
Sm Dy Nd
2 4 2
Cartesian
-4.131 2.704 2.111
0.380 -2.549 8.632
-2.808 -0.147 3.833
1.272 2.596 5.232
-0.944 0.302 6.909
-5.024 -2.441 5.511
-2.278 3.150 5.170
-1.473 -2.995 5.573
```

Mass density: 7.83 g cm⁻³
ΔE_f: 15 meV/atom
Energy relative to the lowest polymorph listed for this composition: 19 meV/atom

=====

Entry 2:
Nd8Sm6Dy: optimized geometry, PBE-GGA.

The structure in POSCAR format:
```
Nd8Sm6Dy
1.0
-3.817 -1.279 5.336
1.360 -9.345 -1.267
5.991 4.986 5.480
Nd Sm Dy
8 6 1
Cartesian
1.271 -1.599 1.902
1.065 -0.924 7.959
-1.450 0.056 5.973
2.468 -4.714 1.590
4.983 -5.695 3.576
2.262 -4.039 7.647
0.573 -7.041 0.099
2.960 1.403 9.451
-1.098 -6.523 3.160
2.128 -6.542 5.463
4.632 0.885 6.390
3.387 -2.475 4.694
1.405 0.904 4.086
0.146 -3.163 4.856
-1.909 -0.639 2.668
```

Mass density: 7.01 g cm⁻³
ΔE_f: 165 meV/atom
Energy relative to the lowest polymorph listed for this composition: 8 meV/atom

=====

Entry 3:
Nd2SmDy: optimized geometry, PBE-GGA.

The structure in POSCAR format:
```
Nd2SmDy
1.0
5.120 0.000 0.000
0.000 5.143 0.000
0.000 0.000 5.143
Nd Sm Dy
2 1 1
Cartesian
0.000 0.000 2.572
0.000 2.572 0.000
2.560 0.000 0.000
2.560 2.572 2.572
```

Mass density: 7.37 g cm⁻³
ΔE_f: 17 meV/atom
Energy relative to the lowest polymorph listed for this composition: 4 meV/atom

=====

Entry 4:
NdSm4Dy2: optimized geometry, PBE-GGA.

The structure in POSCAR format:
```
NdSm4Dy2
1.0
3.519 0.000 -0.589
-0.245 5.583 -1.467
0.200 0.172 12.013
Sm Dy Nd
4 2 1
Cartesian
1.208 4.938 7.221
2.266 0.818 2.736
3.274 2.443 8.763
0.200 3.312 1.194
2.465 4.128 3.926
1.009 1.627 6.031
0.000 0.000 0.000
```

Mass density: 7.48 g cm⁻³
ΔE_f: 87 meV/atom
Energy relative to the lowest polymorph listed for this composition: 0 meV/atom